Record 1
Sn2PbSe after structural relaxation. Source: Alexandria, functional GGA-PBE.

```
Sn2PbSe
1.0
6.350 0.000 0.000
0.000 6.350 0.000
3.175 3.175 7.568
Pb Sn Se
2 4 2
direct
0.000 0.000 0.000 Pb
0.750 0.250 0.500 Pb
0.375 0.400 0.750 Sn
0.150 0.625 0.250 Sn
0.875 0.850 0.750 Sn
0.600 0.125 0.250 Sn
0.500 0.500 0.000 Se
0.250 0.750 0.500 Se
```


Record 2
SnPbSe3 after structural relaxation. Source: Alexandria, functional GGA-PBE.

```
SnPbSe3
1.0
5.293 0.000 0.000
0.000 5.293 0.000
0.000 0.000 5.293
Se Pb Sn
3 1 1
direct
0.000 0.500 0.000 Se
0.500 0.000 0.000 Se
0.000 0.000 0.500 Se
0.500 0.500 0.500 Pb
0.000 0.000 0.000 Sn
```


Record 3
Sn6PbSe8 after structural relaxation. Source: Alexandria, functional GGA-PBE.

```
Sn6PbSe8
1.0
-3.982 -0.469 -1.765
1.693 -10.395 -1.055
-4.375 3.776 8.868
Sn Se Pb
6 8 1
direct
0.740 0.675 0.132 Sn
0.740 0.458 0.325 Sn
0.740 0.868 0.542 Sn
0.260 0.132 0.458 Sn
0.260 0.542 0.675 Sn
0.260 0.325 0.868 Sn
0.251 0.268 0.294 Se
0.749 0.974 0.268 Se
0.749 0.294 0.026 Se
0.742 0.333 0.667 Se
0.749 0.732 0.706 Se
0.258 0.667 0.333 Se
0.251 0.706 0.974 Se
0.251 0.026 0.732 Se
0.500 0.000 0.000 Pb
```


Record 4
Sn2PbSe3 after structural relaxation. Source: Alexandria, functional GGA-PBE.

```
Sn2PbSe3
1.0
4.319 0.000 0.000
-2.160 3.740 0.000
0.000 0.000 10.575
Se Sn Pb
3 2 1
direct
0.333 0.667 0.174 Se
0.667 0.333 0.826 Se
0.000 0.000 0.500 Se
0.333 0.667 0.664 Sn
0.667 0.333 0.336 Sn
0.000 0.000 0.000 Pb
```


no.,M_tot (μB per cell),polymorph energy (0 for the lowest one) (eV/atom),formation energy without anion corrections (eV per atom)
1,0.00,0.034,0.0996
2,0.00,0.368,-0.0035
3,0.00,0.000,-0.3502
4,0.00,0.000,-0.4755